Crystalline Tb10PmNd4 at its relaxed geometry, computed with GGA-PBE.

Cell lengths 9.5061, 9.5061, 9.5061 Å; angles 99.71, 99.71, 131.51 degrees
Last column: nearest neighbours and their distance in Å.
Positions (direct):
Tb 0.0494 0.3484 0.8987  1 Pm 3.36, 3 Nd 3.36
Tb 0.1507 0.0494 0.7010  1 Pm 3.36, 3 Nd 3.36
Tb 0.2500 0.7500 0.5000  4 Nd 3.38
Tb 0.3484 0.4497 0.2990  1 Pm 3.36, 3 Nd 3.36
Tb 0.4497 0.1507 0.1013  1 Pm 3.36, 3 Nd 3.36
Tb 0.5503 0.8493 0.8987  1 Pm 3.36, 3 Nd 3.36
Tb 0.6516 0.5503 0.7010  1 Pm 3.36, 3 Nd 3.36
Tb 0.7500 0.2500 0.5000  4 Nd 3.38
Tb 0.8493 0.9506 0.2990  1 Pm 3.36, 3 Nd 3.36
Tb 0.9506 0.6516 0.1013  1 Pm 3.36, 3 Nd 3.36
Pm 0.0000 0.0000 0.0000  8 Tb 3.36
Nd 0.2011 0.3990 0.6001  8 Tb 3.36-3.38
Nd 0.3990 0.7989 0.1978  8 Tb 3.36-3.38
Nd 0.6010 0.2011 0.8022  8 Tb 3.36-3.38
Nd 0.7989 0.6010 0.3999  8 Tb 3.36-3.38

As for the space group: I4/m, No. 87. For the calculated volume, the calculation gives 39.10 A^3/atom. The value obtained for the energy is -3.921 eV/atom. The energy of formation from the pure elements comes out at 0.75 eV/atom. The magnetic moment is 0.00 μB/f.u.